VASP calculation (GGA-PBE) on crystalline DyHo4Cd5 at its relaxed geometry. Values from VASP.

Summary:
energy of formation from the pure elements	-0.317	eV/atom
symmetry	P4/mmm

```
&SYSTEM
  ibrav = 0, nat = 10, ntyp = 3
/
ATOMIC_SPECIES
Dy 162.50 Dy.upf
Ho 164.93 Ho.upf
Cd 112.41 Cd.upf
ATOMIC_POSITIONS angstrom
Dy 0.000 0.000 0.000
Ho 0.000 0.000 3.751
Ho 0.000 0.000 7.485
Ho 0.000 0.000 11.216
Ho 0.000 0.000 14.949
Cd 1.864 1.864 1.888
Cd 1.864 1.864 5.618
Cd 1.864 1.864 9.350
Cd 1.864 1.864 13.083
Cd 1.864 1.864 16.812
CELL_PARAMETERS angstrom
3.727 0.000 0.000
0.000 3.727 0.000
0.000 0.000 18.700
```